[1]
4
Lattice="1.8953 1.0943 10.8781 -1.8953 1.0943 10.8781 0.0000 -2.1885 10.8781" Properties=species:S:1:pos:R:3 comment="PBE-GGA NdEr2Te, optimized geometry" final_energy_ev_per_atom=-4.482 magmom_total_mub_per_fu=0.7 raw_formation_energy_ev_per_atom=-0.223 e_above_lowest_polymorph_ev_per_fu=1.70 pbc="T T T"
Nd 0.0000 0.0000 0.0000
Er 0.0000 0.0000 3.3811
Er 0.0000 0.0000 29.2531
Te 0.0000 0.0000 16.3171

=====

[2]
15
Lattice="5.8975 0.0000 0.0000 -2.9488 5.1074 0.0000 0.0000 0.0000 12.2558" Properties=species:S:1:pos:R:3 comment="PBE-GGA Ac3MgIn2Pd9, optimized geometry" final_energy_ev_per_atom=-4.951 magmom_total_mub_per_fu=0.0 pbc="T T T"
Ac 0.0000 0.0000 0.0000
Ac 0.0000 3.4049 7.5250
Ac 2.9488 1.7025 4.7307
Mg 0.0000 0.0000 6.1279
In 0.0000 3.4049 2.0849
In 2.9488 1.7025 10.1708
Pd -1.4744 2.5537 0.0000
Pd 0.0000 1.6858 4.1496
Pd -1.4888 4.2645 4.1496
Pd 1.4599 0.8429 8.1061
Pd 2.9488 0.0000 0.0000
Pd 1.4744 2.5537 0.0000
Pd 1.4888 4.2645 4.1496
Pd 4.4376 0.8429 8.1061
Pd 2.9488 3.4216 8.1061

=====

| no. | D(E_F) (states/eV per cell) |
| --- | --- |
| 1 | 6.11 |
| 2 | 4.29 |